4
Lattice="5.349 -0.009 -0.003 2.555 4.699 0.003 -3.366 -3.333 2.485" Properties=species:S:1:pos:R:3 comment="LiInOs2 PBE optimized geometry" dos_at_fermi_per_ev_atom=0.8698 energy_ev_per_atom=-6.32 formation_energy_ev_per_atom=0.4621 magmom_total_mub_per_cell=0.0 pbc="T T T"
In 3.925 2.329 0.000
Li 3.046 -0.452 1.241
Os 0.061 0.036 0.000
Os 1.458 1.789 1.244